#A
{"formula": "Y2MoH", "functional": "PBE", "state": "relaxed", "cell": [[0.066, -4.667, -1.315], [-4.105, -2.193, -1.365], [-0.668, -1.220, -4.646]], "species": ["Y", "Y", "H", "Mo"], "frac_coords": [[0.250, 0.250, 0.250], [0.750, 0.750, 0.750], [0.000, 0.000, 0.000], [0.500, 0.500, 0.500]], "sg": "Fm-3m (225)", "m_tot_mub_per_fu": 0.000}



#B
{"formula": "Y2MoH", "functional": "PBE", "state": "relaxed", "cell": [[6.778, 0.000, 0.000], [0.000, 6.778, 0.000], [3.389, 3.389, 3.498]], "species": ["Y", "Y", "Y", "Y", "H", "H", "Mo", "Mo"], "frac_coords": [[0.534, 0.125, 0.250], [0.216, 0.625, 0.250], [0.375, 0.466, 0.750], [0.875, 0.784, 0.750], [0.500, 0.500, 0.000], [0.250, 0.750, 0.500], [0.000, 0.000, 0.000], [0.750, 0.250, 0.500]], "sg": "I-42d (122)", "m_tot_mub_per_fu": 1.812}



What should be chosen as the most stable of them? Choose #B.